! SrTe2RhO8 PBE-GGA optimized geometry; values from VASP
&SYSTEM
  ibrav = 0, nat = 12, ntyp = 4
/
ATOMIC_SPECIES
Te 127.60 Te.upf
Rh 102.91 Rh.upf
O 16.00 O.upf
Sr 87.62 Sr.upf
ATOMIC_POSITIONS crystal
Te 0.2856 0.2856 0.1431
Te 0.7144 0.7144 0.8569
Rh 0.0000 0.0000 0.0000
O 0.3400 0.7139 0.8456
O 0.1004 0.3400 0.8456
O 0.8996 0.6600 0.1544
O 0.7139 0.1004 0.8456
O 0.2861 0.8996 0.1544
O 0.1911 0.1911 0.4268
O 0.6600 0.2861 0.1544
O 0.8089 0.8089 0.5732
Sr 0.5000 0.5000 0.5000
CELL_PARAMETERS angstrom
5.4504 0.0000 0.0000
2.7252 4.7202 0.0000
2.7252 1.5734 6.5144
! Total energy   -5.6932 eV per atom
! E_form (uncorrected)   -1.1113 eV per atom
! N(E_F)   5.483 states/eV/f.u.



! InNi PBE-GGA optimized geometry; values from VASP
&SYSTEM
  ibrav = 0, nat = 16, ntyp = 2
/
ATOMIC_SPECIES
In 114.82 In.upf
Ni 58.69 Ni.upf
ATOMIC_POSITIONS crystal
In 0.7949 0.7949 0.7949
In 0.2051 0.7949 0.2051
In 0.2949 0.2949 0.2949
In 0.2051 0.2051 0.7949
In 0.2949 0.7051 0.7051
In 0.7949 0.2051 0.2051
In 0.7051 0.2949 0.7051
In 0.7051 0.7051 0.2949
Ni 0.1097 0.1097 0.1097
Ni 0.6097 0.6097 0.6097
Ni 0.1097 0.8903 0.8903
Ni 0.6097 0.3903 0.3903
Ni 0.3903 0.3903 0.6097
Ni 0.3903 0.6097 0.3903
Ni 0.8903 0.8903 0.1097
Ni 0.8903 0.1097 0.8903
CELL_PARAMETERS angstrom
7.6780 0.0000 0.0000
0.0000 7.6780 0.0000
0.0000 0.0000 7.6780
! Total energy   -3.9625 eV per atom
! N(E_F)   1.491 states/eV/f.u.
! Energy relative to the elements   0.297 eV/atom



! Ag2HgMo PBE-GGA optimized geometry; values from VASP
&SYSTEM
  ibrav = 0, nat = 4, ntyp = 3
/
ATOMIC_SPECIES
Ag 107.87 Ag.upf
Mo 95.94 Mo.upf
Hg 200.59 Hg.upf
ATOMIC_POSITIONS crystal
Ag 0.0000 0.0000 0.0000
Ag 0.2500 0.7500 0.5000
Mo 0.7500 0.2500 0.5000
Hg 0.5000 0.5000 0.0000
CELL_PARAMETERS angstrom
-1.5628 3.9933 -2.4209
-3.0221 -1.9720 -3.3507
-0.0828 -0.7385 4.8680
! Total energy   -3.5897 eV per atom
! N(E_F)   3.149 states/eV/f.u.
! Energy relative to the elements   0.619 eV/atom



! La6DyTm5 PBE-GGA optimized geometry; values from VASP
&SYSTEM
  ibrav = 0, nat = 12, ntyp = 3
/
ATOMIC_SPECIES
La 138.91 La.upf
Tm 168.93 Tm.upf
Dy 162.50 Dy.upf
ATOMIC_POSITIONS crystal
La 0.1673 0.7496 0.3339
La 0.5000 0.7493 0.0000
La 0.8327 0.7496 0.6661
La 0.1673 0.2504 0.3339
La 0.5000 0.2507 0.0000
La 0.8327 0.2504 0.6661
Tm 0.3328 0.5000 0.6668
Tm 0.0000 0.5000 0.0000
Tm 0.6666 0.0000 0.3335
Tm 0.6672 0.5000 0.3332
Tm 0.3334 0.0000 0.6665
Dy 0.0000 0.0000 0.0000
CELL_PARAMETERS angstrom
6.1104 0.0031 -0.4311
-0.0039 7.4362 -0.0012
0.0259 0.0014 8.8811
! Total energy   -4.6841 eV per atom
! N(E_F)   18.521 states/eV/f.u.
! Energy relative to the elements   0.026 eV/atom



! Sm3Mg3Ni2 PBE-GGA optimized geometry; values from VASP
&SYSTEM
  ibrav = 0, nat = 8, ntyp = 3
/
ATOMIC_SPECIES
Mg 24.30 Mg.upf
Sm 150.36 Sm.upf
Ni 58.69 Ni.upf
ATOMIC_POSITIONS crystal
Mg 0.6417 0.0798 0.2833
Mg 0.5000 0.5000 0.0000
Mg 0.3583 0.9202 0.7167
Sm 0.1683 0.5958 0.3365
Sm 0.8317 0.4042 0.6635
Sm 0.0000 0.0000 0.0000
Ni 0.2307 0.1254 0.4614
Ni 0.7693 0.8746 0.5386
CELL_PARAMETERS angstrom
-1.3584 -2.5141 -3.1528
4.1752 1.2868 -2.8250
3.7597 -5.7265 5.8180
! Total energy   -4.0156 eV per atom
! N(E_F)   7.266 states/eV/f.u.
! Energy relative to the elements   -0.203 eV/atom



! Be4OsRh PBE-GGA optimized geometry; values from VASP
&SYSTEM
  ibrav = 0, nat = 6, ntyp = 3
/
ATOMIC_SPECIES
Os 190.23 Os.upf
Rh 102.91 Rh.upf
Be 9.01 Be.upf
ATOMIC_POSITIONS crystal
Os 0.7500 0.7500 0.7500
Rh 0.0000 0.0000 0.0000
Be 0.3761 0.3761 0.8716
Be 0.8716 0.3761 0.3761
Be 0.3761 0.8716 0.3761
Be 0.3761 0.3761 0.3761
CELL_PARAMETERS angstrom
0.0000 3.0808 3.0808
3.0808 0.0000 3.0808
3.0808 3.0808 0.0000
! Energy relative to the lowest polymorph listed for this composition   46 meV per atom
! Total energy   -5.9035 eV per atom
! N(E_F)   6.178 states/eV/f.u.
! Energy relative to the elements   -0.322 eV/atom



! FeGeRu PBE-GGA optimized geometry; values from VASP
&SYSTEM
  ibrav = 0, nat = 6, ntyp = 3
/
ATOMIC_SPECIES
Ru 101.07 Ru.upf
Fe 55.84 Fe.upf
Ge 72.64 Ge.upf
ATOMIC_POSITIONS crystal
Ru 0.0000 0.0000 0.0000
Ru 0.0000 0.0000 0.5000
Fe 0.6667 0.3335 0.7500
Fe 0.3333 0.6665 0.2500
Ge 0.6666 0.3332 0.2500
Ge 0.3334 0.6669 0.7500
CELL_PARAMETERS angstrom
-3.7112 0.8981 -1.5512
0.3807 -1.0123 3.9780
0.7370 5.2164 1.2569
! Total energy   -7.3771 eV per atom
! N(E_F)   4.436 states/eV/f.u.
! Energy relative to the elements   0.075 eV/atom



! ScCoSi2 PBE-GGA optimized geometry; values from VASP
&SYSTEM
  ibrav = 0, nat = 4, ntyp = 3
/
ATOMIC_SPECIES
Si 28.09 Si.upf
Co 58.93 Co.upf
Sc 44.96 Sc.upf
ATOMIC_POSITIONS crystal
Si 0.0000 0.0000 0.0000
Si 0.5000 0.5000 0.0000
Co 0.2500 0.7500 0.5000
Sc 0.7500 0.2500 0.5000
CELL_PARAMETERS angstrom
4.4856 -0.0070 0.0000
0.7894 4.4156 0.0000
-2.6375 -2.2043 2.8819
! Total energy   -6.2815 eV per atom
! E_form (uncorrected)   -0.2106 eV per atom
! N(E_F)   2.397 states/eV/f.u.



! BaYSb2 PBE-GGA optimized geometry; values from VASP
&SYSTEM
  ibrav = 0, nat = 4, ntyp = 3
/
ATOMIC_SPECIES
Sb 121.76 Sb.upf
Ba 137.33 Ba.upf
Y 88.91 Y.upf
ATOMIC_POSITIONS crystal
Sb 0.5000 0.5000 0.0000
Sb 0.0000 0.0000 0.0000
Ba 0.0000 0.5000 0.5000
Y 0.5000 0.0000 0.5000
CELL_PARAMETERS angstrom
-3.8062 2.1297 2.8890
-3.2032 -4.8882 -0.6168
1.7715 -1.6046 3.5168
! Energy relative to the lowest polymorph listed for this composition   270 meV per atom
! Total energy   -4.8410 eV per atom
! E_form (uncorrected)   -0.6831 eV per atom
! N(E_F)   3.257 states/eV/f.u.



! Tm2AlSi2Rh5 PBE-GGA optimized geometry; values from VASP
&SYSTEM
  ibrav = 0, nat = 20, ntyp = 4
/
ATOMIC_SPECIES
Si 28.09 Si.upf
Rh 102.91 Rh.upf
Tm 168.93 Tm.upf
Al 26.98 Al.upf
ATOMIC_POSITIONS crystal
Si 0.0000 0.3755 0.1245
Si 0.0000 0.6245 0.8755
Si 0.0000 0.8755 0.3755
Si 0.0000 0.1245 0.6245
Rh 0.5000 0.9314 0.2097
Rh 0.5000 0.7097 0.4314
Rh 0.5000 0.4314 0.2903
Rh 0.5000 0.0686 0.7903
Rh 0.5000 0.2097 0.0686
Rh 0.5000 0.5686 0.7097
Rh 0.5000 0.2903 0.5686
Rh 0.5000 0.0000 0.5000
Rh 0.5000 0.7903 0.9314
Rh 0.5000 0.5000 0.0000
Tm 0.0000 0.8257 0.6743
Tm 0.0000 0.1743 0.3257
Tm 0.0000 0.3257 0.8257
Tm 0.0000 0.6743 0.1743
Al 0.0000 0.5000 0.5000
Al 0.0000 0.0000 0.0000
CELL_PARAMETERS angstrom
-1.2461 -0.1631 3.2005
-0.2425 -9.6326 -0.5852
8.9939 -0.4378 3.4795
! Total energy   -7.0579 eV per atom
! E_form (uncorrected)   -1.0291 eV per atom
! N(E_F)   3.043 states/eV/f.u.



! PtC2 PBE-GGA optimized geometry; values from VASP
&SYSTEM
  ibrav = 0, nat = 9, ntyp = 2
/
ATOMIC_SPECIES
C 12.01 C.upf
Pt 195.08 Pt.upf
ATOMIC_POSITIONS crystal
C 0.0000 0.0000 0.9418
C 0.6667 0.3333 0.3029
C 0.0000 0.0000 0.0582
C 0.3333 0.6667 0.6971
C 0.6667 0.3333 0.4082
C 0.3333 0.6667 0.5918
Pt 0.0000 0.0000 0.5000
Pt 0.3333 0.6667 0.8575
Pt 0.6667 0.3333 0.1425
CELL_PARAMETERS angstrom
1.5877 -2.7500 0.0000
1.5877 2.7500 0.0000
0.0000 0.0000 12.3139
! Energy relative to the lowest polymorph listed for this composition   817 meV per atom
! Total energy   -7.0251 eV per atom
! N(E_F)   1.733 states/eV/f.u.
! Energy relative to the elements   1.138 eV/atom



! AlCdOs PBE-GGA optimized geometry; values from VASP
&SYSTEM
  ibrav = 0, nat = 3, ntyp = 3
/
ATOMIC_SPECIES
Os 190.23 Os.upf
Al 26.98 Al.upf
Cd 112.41 Cd.upf
ATOMIC_POSITIONS crystal
Os 0.3333 0.6667 0.8437
Al 0.0000 0.0000 0.8179
Cd 0.6667 0.3333 0.3384
CELL_PARAMETERS angstrom
4.3877 0.0000 0.0000
-2.1938 3.7998 0.0000
0.0000 0.0000 2.9882
! Energy relative to the lowest polymorph listed for this composition   120 meV per atom
! Total energy   -5.0784 eV per atom
! N(E_F)   1.716 states/eV/f.u.
! Energy relative to the elements   0.217 eV/atom